Computed, not measured: a geometry-optimized Rb2CaCuI6 structure at the PBE level of DFT.

Output
Formation energy from raw total energies in kJ/mol of formula units: -981
DOS(E_F) in states/eV per cell: 4.2
Spin magnetization in Bohr magnetons per cell: 0.77

CIF file:
```
data_Rb2CaCuI6
_cell_length_a 8.170
_cell_length_b 8.170
_cell_length_c 8.663
_cell_angle_alpha 61.86
_cell_angle_beta 61.86
_cell_angle_gamma 90.00
_symmetry_space_group_name_H-M 'P 1'
_symmetry_Int_Tables_number 1
_symmetry_space_group_name_Hall 'P 1'
loop_
_atom_site_label
_atom_site_type_symbol
_atom_site_fract_x
_atom_site_fract_y
_atom_site_fract_z
Ca1 Ca 0.500 0.500 0.000
I1 I 0.770 0.230 0.000
I2 I 0.263 0.263 0.474
I3 I 0.230 0.230 0.000
Rb1 Rb 0.250 0.750 0.500
I4 I 0.230 0.770 0.000
I5 I 0.737 0.737 0.526
Rb2 Rb 0.750 0.250 0.500
Cu1 Cu 0.000 0.000 0.000
I6 I 0.770 0.770 0.000
```